This record from the Alexandria database describes crystalline ZrSbN3 at its relaxed geometry. The functional is PBEsol.

abc: 4.172 4.172 4.172
angles: 90.00 90.00 90.00
Fractional positions:
Zr1 0.000 0.000 0.000
Sb1 0.500 0.500 0.500
N1 0.000 0.000 0.500
N2 0.000 0.500 0.000
N3 0.500 0.000 0.000

Properties
The density of states at the Fermi level comes out at 0.7627 states/eV/atom. Its space-group type is No. 221. The calculation puts the raw total energy at -7.350 eV per atom.

***

This record from the Alexandria database describes crystalline Sc2SeN at its relaxed geometry. The functional is PBEsol.

abc: 5.595 5.595 9.756
angles: 90.00 90.00 90.00
Fractional positions:
Sc1 0.169 0.250 0.125
Sc2 0.250 0.669 0.375
Sc3 0.250 0.831 0.875
Sc4 0.331 0.250 0.625
Sc5 0.669 0.750 0.625
Sc6 0.750 0.169 0.875
Sc7 0.750 0.331 0.375
Sc8 0.831 0.750 0.125
Se1 0.000 0.000 0.500
Se2 0.000 0.500 0.750
Se3 0.500 0.000 0.250
Se4 0.500 0.500 0.000
N1 0.000 0.000 0.000
N2 0.000 0.500 0.250
N3 0.500 0.000 0.750
N4 0.500 0.500 0.500

Properties
The density of states at the Fermi level comes out at 0.5687 states/eV/atom. Its space-group type is No. 122. The calculation puts the raw total energy at -7.946 eV per atom.

***

This record from the Alexandria database describes crystalline Sc2SeN at its relaxed geometry. The functional is PBEsol.

abc: 6.185 6.185 6.185
angles: 90.00 90.00 90.00
Fractional positions:
Sc1 0.250 0.250 0.250
Sc2 0.250 0.250 0.750
Sc3 0.250 0.750 0.250
Sc4 0.250 0.750 0.750
Sc5 0.750 0.250 0.250
Sc6 0.750 0.250 0.750
Sc7 0.750 0.750 0.250
Sc8 0.750 0.750 0.750
Se1 0.000 0.000 0.000
Se2 0.000 0.500 0.500
Se3 0.500 0.000 0.500
Se4 0.500 0.500 0.000
N1 0.000 0.000 0.500
N2 0.000 0.500 0.000
N3 0.500 0.000 0.000
N4 0.500 0.500 0.500

Properties
The density of states at the Fermi level comes out at 0.7710 states/eV/atom. Its space-group type is No. 225. The calculation puts the raw total energy at -7.226 eV per atom.

***

This record from the Alexandria database describes crystalline SrScSe2N at its relaxed geometry. The functional is PBEsol.

abc: 5.231 5.231 4.158
angles: 90.00 90.00 90.00
Fractional positions:
Sr1 0.000 0.000 0.000
Sc1 0.500 0.500 0.500
Se1 0.000 0.500 0.500
Se2 0.500 0.000 0.500
N1 0.500 0.500 0.000

Properties
The density of states at the Fermi level comes out at 0.3393 states/eV/atom. Its space-group type is No. 123. The calculation puts the raw total energy at -5.922 eV per atom.

***

This record from the Alexandria database describes crystalline ScTe2SeN at its relaxed geometry. The functional is PBEsol.

abc: 5.480 5.480 3.733
angles: 90.00 90.00 90.00
Fractional positions:
Sc1 0.000 0.000 0.000
Te1 0.000 0.500 0.500
Te2 0.500 0.000 0.500
Se1 0.500 0.500 0.500
N1 0.500 0.500 0.000

Properties
The density of states at the Fermi level comes out at 0.6574 states/eV/atom. Its space-group type is No. 123. The calculation puts the raw total energy at -4.800 eV per atom.

***

This record from the Alexandria database describes crystalline ScTiSeN2 at its relaxed geometry. The functional is PBEsol.

abc: 3.867 3.867 5.028
angles: 90.00 90.00 90.00
Fractional positions:
Sc1 0.000 0.000 0.000
Ti1 0.500 0.500 0.500
Se1 0.500 0.500 0.000
N1 0.000 0.500 0.500
N2 0.500 0.000 0.500

Properties
The density of states at the Fermi level comes out at 0.4026 states/eV/atom. Its space-group type is No. 123. The calculation puts the raw total energy at -7.726 eV per atom.

***

This record from the Alexandria database describes crystalline ScZnSe2N at its relaxed geometry. The functional is PBEsol.

abc: 5.150 5.150 4.019
angles: 90.00 90.00 90.00
Fractional positions:
Sc1 0.000 0.000 0.000
Zn1 0.500 0.500 0.500
Se1 0.000 0.500 0.000
Se2 0.500 0.000 0.000
N1 0.000 0.000 0.500

Properties
The density of states at the Fermi level comes out at 0.6859 states/eV/atom. Its space-group type is No. 123. The calculation puts the raw total energy at -4.740 eV per atom.

***

This record from the Alexandria database describes crystalline ZrScSe2N at its relaxed geometry. The functional is PBEsol.

abc: 5.048 5.048 3.834
angles: 90.00 90.00 90.00
Fractional positions:
Zr1 0.000 0.000 0.000
Sc1 0.500 0.500 0.500
Se1 0.000 0.500 0.500
Se2 0.500 0.000 0.500
N1 0.500 0.500 0.000

Properties
The density of states at the Fermi level comes out at 0.6504 states/eV/atom. Its space-group type is No. 123. The calculation puts the raw total energy at -6.721 eV per atom.

***

This record from the Alexandria database describes crystalline ScSi3N at its relaxed geometry. The functional is PBEsol.

abc: 4.072 4.072 4.072
angles: 90.00 90.00 90.00
Fractional positions:
Sc1 0.000 0.000 0.000
Si1 0.000 0.500 0.500
Si2 0.500 0.000 0.500
Si3 0.500 0.500 0.000
N1 0.500 0.500 0.500

Properties
The density of states at the Fermi level comes out at 0.2730 states/eV/atom. Its space-group type is No. 221. The calculation puts the raw total energy at -6.420 eV per atom.

***

This record from the Alexandria database describes crystalline Sc2SnN at its relaxed geometry. The functional is PBEsol.

abc: 3.263 3.263 24.274
angles: 90.00 90.00 120.00
Fractional positions:
Sc1 0.000 0.000 0.120
Sc2 0.000 0.000 0.880
Sc3 0.333 0.667 0.547
Sc4 0.333 0.667 0.786
Sc5 0.667 0.333 0.214
Sc6 0.667 0.333 0.453
Sn1 0.000 0.000 0.000
Sn2 0.333 0.667 0.667
Sn3 0.667 0.333 0.333
N1 0.000 0.000 0.500
N2 0.333 0.667 0.167
N3 0.667 0.333 0.833

Properties
The density of states at the Fermi level comes out at 0.4889 states/eV/atom. Its space-group type is No. 166. The calculation puts the raw total energy at -7.532 eV per atom.

***

This record from the Alexandria database describes crystalline SrScN2 at its relaxed geometry. The functional is PBEsol.

abc: 5.317 5.317 10.253
angles: 90.00 90.00 90.00
Fractional positions:
Sr1 0.000 0.000 0.000
Sr2 0.000 0.500 0.250
Sr3 0.500 0.000 0.750
Sr4 0.500 0.500 0.500
Sc1 0.000 0.000 0.500
Sc2 0.000 0.500 0.750
Sc3 0.500 0.000 0.250
Sc4 0.500 0.500 0.000
N1 0.181 0.250 0.625
N2 0.250 0.681 0.875
N3 0.250 0.819 0.375
N4 0.319 0.250 0.125
N5 0.681 0.750 0.125
N6 0.750 0.181 0.375
N7 0.750 0.319 0.875
N8 0.819 0.750 0.625

Properties
The density of states at the Fermi level comes out at 0.6542 states/eV/atom. Its space-group type is No. 122. The calculation puts the raw total energy at -7.226 eV per atom.

***

This record from the Alexandria database describes crystalline ZrSc2TaN at its relaxed geometry. The functional is PBEsol.

abc: 4.456 4.456 4.293
angles: 90.00 90.00 90.00
Fractional positions:
Zr1 0.000 0.000 0.000
Sc1 0.000 0.500 0.500
Sc2 0.500 0.000 0.500
Ta1 0.500 0.500 0.000
N1 0.500 0.500 0.500

Properties
The density of states at the Fermi level comes out at 0.9499 states/eV/atom. Its space-group type is No. 123. The calculation puts the raw total energy at -9.310 eV per atom.

***

raw total energy of number 4 (SrScSe2N)? -5.922 eV per atom